No. 1
Cs2K2Na: optimized geometry, PBE.

```
Cs2K2Na
1.0
3.456 -12.706 0.000
3.456 12.706 0.000
0.000 0.000 9.202
Cs K Na
4 4 2
Direct
0.023 0.977 0.500 Cs
0.218 0.782 0.448 Cs
0.782 0.218 0.948 Cs
0.977 0.023 0.000 Cs
0.157 0.843 0.936 K
0.405 0.595 0.707 K
0.595 0.405 0.207 K
0.843 0.157 0.436 K
0.398 0.602 0.224 Na
0.602 0.398 0.724 Na
```

**Calculated volume**: 808.16 Å³ per cell
**DFT formation energy**: 0.04 eV/atom

***

No. 2
Cs2K2Na5: optimized geometry, PBE.

```
Cs2K2Na5
1.0
-9.206 4.782 6.169
9.206 -4.782 6.169
9.206 4.782 -6.169
Cs K Na
4 4 10
Direct
0.009 0.125 0.134 Cs
0.009 0.375 0.384 Cs
0.991 0.625 0.616 Cs
0.991 0.875 0.866 Cs
0.591 0.858 0.233 K
0.601 0.101 0.500 K
0.601 0.601 0.000 K
0.625 0.358 0.767 K
0.128 0.049 0.579 Na
0.130 0.253 0.785 Na
0.130 0.845 0.376 Na
0.150 0.462 0.990 Na
0.150 0.660 0.188 Na
0.468 0.345 0.215 Na
0.468 0.753 0.624 Na
0.470 0.549 0.421 Na
0.472 0.160 0.010 Na
0.472 0.962 0.812 Na
```

**Calculated volume**: 1086.35 Å³ per cell
**DFT formation energy**: 0.04 eV/atom

***

No. 3
Cs2KNa6: optimized geometry, PBE.

```
Cs2KNa6
1.0
0.000 6.457 6.457
6.457 0.000 6.457
6.457 6.457 0.000
Cs K Na
2 1 6
Direct
0.250 0.250 0.250 Cs
0.750 0.750 0.750 Cs
0.000 0.000 0.000 K
0.302 0.302 0.698 Na
0.302 0.698 0.302 Na
0.302 0.698 0.698 Na
0.698 0.302 0.302 Na
0.698 0.302 0.698 Na
0.698 0.698 0.302 Na
```

**Calculated volume**: 538.47 Å³ per cell
**DFT formation energy**: 0.07 eV/atom

***

No. 4
Cs2KNa3: optimized geometry, PBE.

```
Cs2KNa3
1.0
6.967 -4.084 0.000
6.967 4.084 0.000
-4.685 0.000 6.697
Cs K Na
2 1 3
Direct
0.121 0.121 0.364 Cs
0.879 0.879 0.636 Cs
0.500 0.500 0.500 K
0.000 0.500 0.000 Na
0.500 0.000 0.000 Na
0.500 0.500 0.000 Na
```

**Calculated volume**: 381.09 Å³ per cell
**DFT formation energy**: 0.02 eV/atom

***

No. 5
CsK2Na4: optimized geometry, PBE.

```
CsK2Na4
1.0
-2.294 3.208 13.393
2.294 -3.208 13.393
2.294 3.208 -13.393
Cs K Na
1 2 4
Direct
0.000 0.000 0.000 Cs
0.301 0.801 0.500 K
0.699 0.199 0.500 K
0.144 0.644 0.500 Na
0.429 0.429 0.000 Na
0.571 0.571 0.000 Na
0.856 0.356 0.500 Na
```

**Calculated volume**: 394.33 Å³ per cell
**DFT formation energy**: 0.04 eV/atom

***

No. 6
Cs7KNa6: optimized geometry, PBE.

```
Cs7KNa6
1.0
6.392 3.690 8.232
-6.392 3.690 8.232
0.000 -7.381 8.232
Cs K Na
7 1 6
Direct
0.000 0.000 0.000 Cs
0.018 0.796 0.508 Cs
0.324 0.561 0.827 Cs
0.508 0.018 0.796 Cs
0.561 0.827 0.324 Cs
0.796 0.508 0.018 Cs
0.827 0.324 0.561 Cs
0.346 0.346 0.346 K
0.022 0.601 0.230 Na
0.131 0.347 0.704 Na
0.230 0.022 0.601 Na
0.347 0.704 0.131 Na
0.601 0.230 0.022 Na
0.704 0.131 0.347 Na
```

**Calculated volume**: 1165.03 Å³ per cell
**DFT formation energy**: 0.06 eV/atom